[1]
# Ba2HfCdS5

A relaxed Ba2HfCdS5 crystal (GGA-PBE, the Alexandria database).

Unit cell a=4.035 b=9.302 c=12.964 alpha=90.00 beta=90.00 gamma=102.53
Fractional positions:
Ba1 0.869 0.738 0.806
Ba2 0.111 0.222 0.686
Ba3 0.131 0.262 0.306
Ba4 0.889 0.778 0.186
Hf1 0.786 0.573 0.515
Hf2 0.214 0.427 0.015
Cd1 0.550 0.100 0.950
Cd2 0.450 0.900 0.450
S1 0.349 0.699 0.002
S2 0.698 0.396 0.883
S3 0.497 0.995 0.776
S4 0.282 0.565 0.645
S5 0.928 0.856 0.561
S6 0.651 0.301 0.502
S7 0.302 0.604 0.383
S8 0.503 0.005 0.276
S9 0.718 0.435 0.145
S10 0.072 0.144 0.061

## Properties
The value obtained for the energy relative to the elements, uncorrected is -1.5883 eV per atom. The final energy comes out at -99.29 eV for the cell shown. Its total magnetization is 0.00 μB/f.u.

***

[2]
# AcSm2Si6

A relaxed AcSm2Si6 crystal (GGA-PBE, the Alexandria database).

Unit cell a=4.216 b=7.239 c=7.239 alpha=120.00 beta=90.00 gamma=90.00
Fractional positions:
Ac1 0.000 0.000 0.000
Sm1 0.000 0.333 0.667
Sm2 0.000 0.667 0.333
Si1 0.500 0.339 0.339
Si2 0.500 0.661 0.661
Si3 0.500 0.000 0.661
Si4 0.500 0.661 0.000
Si5 0.500 0.339 0.000
Si6 0.500 0.000 0.339

## Properties
The value obtained for the energy relative to the elements, uncorrected is -0.5370 eV per atom. The final energy comes out at -50.92 eV for the cell shown. The value obtained for the density of states at the Fermi level is 5.3 states/eV/f.u. Its total magnetization is 0.00 μB/f.u.

***

[3]
# FeTeBr2

A relaxed FeTeBr2 crystal (GGA-PBE, the Alexandria database).

Unit cell a=3.425 b=6.313 c=4.699 alpha=90.00 beta=90.00 gamma=90.00
Each line ends with the local moment (μB).
Fractional positions:
Br1 0.000 0.000 0.000  0.07
Br2 0.500 0.500 0.000  0.02
Fe1 0.500 0.000 0.500  3.26
Te1 0.000 0.500 0.500  0.07

## Properties
The value obtained for the energy relative to the elements, uncorrected is 0.4444 eV per atom. The final energy comes out at -13.17 eV for the cell shown. The value obtained for the density of states at the Fermi level is 5.2 states/eV/f.u. Its total magnetization is 3.62 μB/f.u.